Compound: TcGeNF2
Source: Alexandria
Functional: GGA-PBE
Structure: optimized geometry

DOS at the Fermi energy: 0.96 states/eV per cell
raw total energy: -0.1988 hartree per atom
energy above the lowest structure with this stoichiometry: 418 meV per atom
ΔE_f (raw): -0.001 eV/atom
mass density: 5.53 g/cm3

a b c (Å): 4.2671 4.2671 3.6743
angles (deg): 90.00 90.00 90.00
Last column: nearest neighbours and their distance in Å.
Atoms (fractional coordinates):
Ge: 0.0000 0.0000 0.0000  2 N 1.84
N: 0.0000 0.0000 0.5000  2 Ge 1.84
Tc: 0.5000 0.5000 0.5000  8 F 2.82, 4 N 3.02
F: 0.0000 0.5000 0.0000  2 Ge 2.13
F: 0.5000 0.0000 0.0000  2 Ge 2.13